[1]
Compound: NaSbS3
Source: Alexandria via LeMat-Bulk
Functional: GGA-PBEsol
Structure: optimized geometry

Unit cell a=5.0001 b=5.0001 c=5.0001 alpha=90.00 beta=90.00 gamma=90.00
Space group Pm-3m (No. 221)
One atom of each set of equivalent atoms:
1 Na 0.0000 0.0000 0.0000 (multiplicity 1)
2 Sb 0.5000 0.5000 0.5000 (multiplicity 1)
3 S 0.0000 0.5000 0.5000 (multiplicity 3)

Summary:
The raw total energy is -19.6 eV/f.u. For the uncorrected formation energy, the calculation gives -10.2 kJ/mol of atoms.


[2]
Compound: NaCeP2O7
Source: Alexandria via LeMat-Bulk
Functional: GGA-PBEsol
Structure: optimized geometry

Unit cell a=8.5736 b=5.2705 c=12.6880 alpha=90.00 beta=90.00 gamma=90.00
Space group Pnma (No. 62)
One atom of each set of equivalent atoms:
1 Na 0.1177 0.2500 0.0774 (multiplicity 4)
2 Ce 0.1874 0.2500 0.7639 (multiplicity 4)
3 P 0.0105 0.2500 0.3154 (multiplicity 4)
4 P 0.2401 0.7500 0.9659 (multiplicity 4)
5 O 0.0677 0.0044 0.2627 (multiplicity 8)
6 O 0.0765 0.2500 0.4341 (multiplicity 4)
7 O 0.1646 0.5112 0.9202 (multiplicity 8)
8 O 0.1658 0.7500 0.6810 (multiplicity 4)
9 O 0.2403 0.7500 0.0854 (multiplicity 4)

Summary:
The raw total energy is -85.0 eV/f.u. For the uncorrected formation energy, the calculation gives -251.3 kJ/mol of atoms.


[3]
Compound: Ba3LuIrRuO9
Source: Alexandria via LeMat-Bulk
Functional: GGA-PBEsol
Structure: optimized geometry

Unit cell a=5.8172 b=5.8172 c=14.3390 alpha=90.00 beta=90.00 gamma=120.00
Space group P6_3mc (No. 186)
One atom of each set of equivalent atoms:
1 Ba 0.0000 0.0000 0.0000 (multiplicity 2)
2 Ba 0.3333 0.6667 0.1601 (multiplicity 2)
3 Ba 0.3333 0.6667 0.8421 (multiplicity 2)
4 Lu 0.0000 0.0000 0.2504 (multiplicity 2)
5 Ir 0.3333 0.6667 0.4137 (multiplicity 2)
6 Ru 0.3333 0.6667 0.5878 (multiplicity 2)
7 O 0.0185 0.5093 0.5014 (multiplicity 6)
8 O 0.1743 0.3485 0.3341 (multiplicity 6)
9 O 0.1749 0.3499 0.6637 (multiplicity 6)

Summary:
The raw total energy is -112.4 eV/f.u. For the uncorrected formation energy, the calculation gives -217.8 kJ/mol of atoms.


[4]
Compound: NbAlAu2
Source: Alexandria via LeMat-Bulk
Functional: GGA-PBEsol
Structure: optimized geometry

Unit cell a=3.8686 b=3.8686 c=19.1979 alpha=90.00 beta=90.00 gamma=90.00
Space group I-42d (No. 122)
One atom of each set of equivalent atoms:
1 Nb 0.0000 0.0000 0.0000 (multiplicity 4)
2 Al 0.0000 0.0000 0.5000 (multiplicity 4)
3 Au 0.2431 0.2500 0.6250 (multiplicity 8)

Summary:
The calculation puts the energy relative to the elements at 0.156 eV per atom. The raw total energy is -22.1 eV/f.u.


[5]
Compound: Tb11In6Si4
Source: Alexandria via LeMat-Bulk
Functional: GGA-PBEsol
Structure: optimized geometry

Unit cell a=11.3737 b=11.3737 c=15.9596 alpha=90.00 beta=90.00 gamma=90.00
Space group I4/mmm (No. 139)
One atom of each set of equivalent atoms:
1 Tb 0.0000 0.0000 0.1676 (multiplicity 4)
2 Tb 0.0000 0.2504 0.3151 (multiplicity 16)
3 Tb 0.0000 0.3469 0.1002 (multiplicity 16)
4 Tb 0.1669 0.1669 0.5000 (multiplicity 8)
5 In 0.1284 0.1284 0.0000 (multiplicity 8)
6 In 0.2065 0.2065 0.1708 (multiplicity 16)
7 Si 0.0000 0.0000 0.3818 (multiplicity 4)
8 Si 0.0000 0.3467 0.5000 (multiplicity 8)
9 Si 0.0000 0.5000 0.2500 (multiplicity 4)

Summary:
The raw total energy is -109.6 eV/f.u. For the uncorrected formation energy, the calculation gives -62.6 kJ/mol of atoms.


[6]
Compound: LiTl2In
Source: Alexandria via LeMat-Bulk
Functional: GGA-PBEsol
Structure: optimized geometry

Unit cell a=3.3773 b=4.7837 c=6.2659 alpha=90.00 beta=101.44 gamma=90.00
Space group P2/m (No. 10)
One atom of each set of equivalent atoms:
1 Li 0.0000 0.0000 0.0000 (multiplicity 1)
2 Tl 0.2380 0.5000 0.7586 (multiplicity 2)
3 In 0.5000 0.0000 0.5000 (multiplicity 1)

Summary:
The calculation puts the energy relative to the elements at -0.087 eV per atom. The raw total energy is -10.6 eV/f.u.


[7]
Compound: Na2HfCrBi
Source: Alexandria via LeMat-Bulk
Functional: GGA-PBEsol
Structure: optimized geometry

Unit cell a=5.5978 b=5.5978 c=5.2032 alpha=90.00 beta=90.00 gamma=90.00
Space group P4/mmm (No. 123)
One atom of each set of equivalent atoms:
1 Na 0.0000 0.5000 0.0000 (multiplicity 2)
2 Hf 0.0000 0.0000 0.5000 (multiplicity 1)
3 Cr 0.5000 0.5000 0.5000 (multiplicity 1)
4 Bi 0.5000 0.5000 0.0000 (multiplicity 1)

Summary:
The calculation puts the energy relative to the elements at 1.352 eV per atom. The raw total energy is -21.1 eV/f.u.


[8]
Compound: La3LuSe6
Source: Alexandria via LeMat-Bulk
Functional: GGA-PBEsol
Structure: optimized geometry

Unit cell a=14.5223 b=17.4562 c=4.1292 alpha=90.00 beta=90.00 gamma=90.00
Space group Pnnm (No. 58)
One atom of each set of equivalent atoms:
1 La 0.0500 0.2176 0.0000 (multiplicity 4)
2 La 0.1795 0.6514 0.0000 (multiplicity 4)
3 La 0.2488 0.9002 0.5000 (multiplicity 4)
4 Lu 0.0000 0.0000 0.5000 (multiplicity 2)
5 Lu 0.0000 0.5000 0.5000 (multiplicity 2)
6 Se 0.0247 0.3947 0.0000 (multiplicity 4)
7 Se 0.0913 0.9222 0.0000 (multiplicity 4)
8 Se 0.1033 0.7556 0.5000 (multiplicity 4)
9 Se 0.1267 0.1094 0.5000 (multiplicity 4)
10 Se 0.1859 0.2898 0.5000 (multiplicity 4)
11 Se 0.1878 0.5233 0.5000 (multiplicity 4)

Summary:
The raw total energy is -64.1 eV/f.u. For the uncorrected formation energy, the calculation gives -193.9 kJ/mol of atoms.


Repeat the fourth record exactly.
Compound: NbAlAu2
Source: Alexandria via LeMat-Bulk
Functional: GGA-PBEsol
Structure: optimized geometry

Unit cell a=3.8686 b=3.8686 c=19.1979 alpha=90.00 beta=90.00 gamma=90.00
Space group I-42d (No. 122)
One atom of each set of equivalent atoms:
1 Nb 0.0000 0.0000 0.0000 (multiplicity 4)
2 Al 0.0000 0.0000 0.5000 (multiplicity 4)
3 Au 0.2431 0.2500 0.6250 (multiplicity 8)

Summary:
The calculation puts the energy relative to the elements at 0.156 eV per atom. The raw total energy is -22.1 eV/f.u.


- Which value of raw total energy does entry 5 give?
  -109.6 eV/f.u.